Record 1
A plane-wave DFT calculation with PBE-GGA was carried out for a geometry-optimized BeFeCuIr structure.

Lattice parameters (Å, degrees): 2.629 4.096 4.465 90.00 90.00 90.00
Site moments in Bohr magnetons follow the coordinates.
Atoms (fractional coordinates):
Be 0.741 0.000 0.674  -0.04
Ir 0.741 0.500 0.360  0.15
Fe 0.241 0.000 0.181  2.28
Cu 0.241 0.500 0.851  0.05

## Properties
ΔE to the lowest computed polymorph ... 178.2 meV/atom
D(E_F) ... 3.8 states/eV/cell
Formation energy ... 0.044 eV per atom
Crystal system ... orthorhombic
Magnetic moment ... 2.44 Bohr magnetons per cell

---

Record 2
A plane-wave DFT calculation with PBE-GGA was carried out for a geometry-optimized BeFeCuIr structure.

Lattice parameters (Å, degrees): 4.224 2.798 8.590 90.00 110.25 90.00
Site moments in Bohr magnetons follow the coordinates.
Atoms (fractional coordinates):
Be 0.752 0.000 0.382  -0.03
Be 0.752 0.500 0.882  -0.03
Ir 0.904 0.000 0.117  0.30
Ir 0.904 0.500 0.617  0.30
Fe 0.429 0.000 0.644  2.61
Fe 0.429 0.500 0.144  2.61
Cu 0.241 0.000 0.889  0.09
Cu 0.241 0.500 0.389  0.09

## Properties
ΔE to the lowest computed polymorph ... 65.3 meV/atom
D(E_F) ... 5.8 states/eV/cell
Formation energy ... -0.068 eV per atom
Crystal system ... monoclinic
Magnetic moment ... 5.91 Bohr magnetons per cell

---

Record 3
A plane-wave DFT calculation with PBE-GGA was carried out for a geometry-optimized BeFeCuIr structure.

Lattice parameters (Å, degrees): 3.990 2.856 4.166 90.00 92.95 90.00
Site moments in Bohr magnetons follow the coordinates.
Atoms (fractional coordinates):
Be 0.233 0.500 0.831  -0.02
Ir 0.733 0.000 0.832  0.23
Fe 0.734 0.500 0.333  2.61
Cu 0.234 0.000 0.331  0.06

## Properties
ΔE to the lowest computed polymorph ... 33.9 meV/atom
D(E_F) ... 2.1 states/eV/cell
Formation energy ... -0.100 eV per atom
Crystal system ... monoclinic
Magnetic moment ... 2.85 Bohr magnetons per cell

---

Record 4
A plane-wave DFT calculation with PBE-GGA was carried out for a geometry-optimized BeFeCuIr structure.

Lattice parameters (Å, degrees): 2.807 2.807 5.916 90.00 90.00 90.00
Site moments in Bohr magnetons follow the coordinates.
Atoms (fractional coordinates):
Be 0.000 0.000 0.353  -0.05
Ir 0.500 0.500 0.145  0.30
Fe 0.500 0.500 0.584  2.60
Cu 0.000 0.000 0.851  0.13

## Properties
ΔE to the lowest computed polymorph ... 52.4 meV/atom
D(E_F) ... 2.8 states/eV/cell
Formation energy ... -0.081 eV per atom
Crystal system ... tetragonal
Magnetic moment ... 2.94 Bohr magnetons per cell

---

Record 5
A plane-wave DFT calculation with PBE-GGA was carried out for a geometry-optimized BeFeCuIr structure.

Lattice parameters (Å, degrees): 5.622 2.674 8.123 90.00 127.47 90.00
Site moments in Bohr magnetons follow the coordinates.
Atoms (fractional coordinates):
Be 0.324 0.000 0.015  -0.04
Be 0.324 0.500 0.515  -0.04
Ir 0.865 0.000 0.271  0.17
Ir 0.865 0.500 0.771  0.17
Fe 0.610 0.000 0.431  2.42
Fe 0.610 0.500 0.931  2.42
Cu 0.165 0.000 0.668  0.08
Cu 0.165 0.500 0.168  0.08

## Properties
ΔE to the lowest computed polymorph ... 203.5 meV/atom
D(E_F) ... 5.7 states/eV/cell
Formation energy ... 0.070 eV per atom
Crystal system ... monoclinic
Magnetic moment ... 5.24 Bohr magnetons per cell

---

Record 6
A plane-wave DFT calculation with PBE-GGA was carried out for a geometry-optimized BeFeCuIr structure.

Lattice parameters (Å, degrees): 4.064 4.064 4.064 60.00 60.00 60.00
Site moments in Bohr magnetons follow the coordinates.
Atoms (fractional coordinates):
Be 0.000 0.000 0.000  -0.01
Ir 0.250 0.250 0.250  0.35
Fe 0.500 0.500 0.500  2.71
Cu 0.750 0.750 0.750  0.05

## Properties
ΔE to the lowest computed polymorph ... 35.4 meV/atom
D(E_F) ... 2.9 states/eV/cell
Formation energy ... -0.098 eV per atom
Crystal system ... cubic
Magnetic moment ... 3.12 Bohr magnetons per cell

---

Record 7
A plane-wave DFT calculation with PBE-GGA was carried out for a geometry-optimized BeFeCuIr structure.

Lattice parameters (Å, degrees): 4.017 2.812 8.114 90.00 90.00 90.00
Site moments in Bohr magnetons follow the coordinates.
Atoms (fractional coordinates):
Be 0.000 0.500 0.353  -0.04
Be 0.500 0.000 0.853  -0.04
Ir 0.000 0.500 0.858  0.25
Ir 0.500 0.000 0.358  0.25
Fe 0.000 0.000 0.587  2.55
Fe 0.500 0.500 0.087  2.55
Cu 0.000 0.000 0.133  0.08
Cu 0.500 0.500 0.633  0.08

## Properties
ΔE to the lowest computed polymorph ... 19.8 meV/atom
D(E_F) ... 5.3 states/eV/cell
Formation energy ... -0.114 eV per atom
Crystal system ... orthorhombic
Magnetic moment ... 5.59 Bohr magnetons per cell

---

Record 8
A plane-wave DFT calculation with PBE-GGA was carried out for a geometry-optimized BeFeCuIr structure.

Lattice parameters (Å, degrees): 2.746 2.746 6.203 90.00 90.00 90.00
Site moments in Bohr magnetons follow the coordinates.
Atoms (fractional coordinates):
Be 0.000 0.000 0.640  -0.01
Ir 0.500 0.500 0.422  0.09
Fe 0.000 0.000 0.139  2.65
Cu 0.500 0.500 0.864  0.06

## Properties
ΔE to the lowest computed polymorph ... 0.0 meV/atom
D(E_F) ... 3.7 states/eV/cell
Formation energy ... -0.134 eV per atom
Crystal system ... tetragonal
Magnetic moment ... 2.77 Bohr magnetons per cell

---

Record 9
A plane-wave DFT calculation with PBE-GGA was carried out for a geometry-optimized BeFeCuIr structure.

Lattice parameters (Å, degrees): 4.127 2.919 8.827 90.00 117.90 90.00
Site moments in Bohr magnetons follow the coordinates.
Atoms (fractional coordinates):
Be 0.299 0.000 0.264  -0.05
Be 0.299 0.500 0.764  -0.05
Ir 0.068 0.000 0.533  0.37
Ir 0.068 0.500 0.033  0.37
Fe 0.789 0.000 0.753  2.73
Fe 0.789 0.500 0.253  2.73
Cu 0.518 0.000 0.983  0.06
Cu 0.518 0.500 0.483  0.06

## Properties
ΔE to the lowest computed polymorph ... 77.6 meV/atom
D(E_F) ... 5.3 states/eV/cell
Formation energy ... -0.056 eV per atom
Crystal system ... orthorhombic
Magnetic moment ... 6.18 Bohr magnetons per cell

---

Record 10
A plane-wave DFT calculation with PBE-GGA was carried out for a geometry-optimized BeFeCuNi structure.

Lattice parameters (Å, degrees): 3.931 3.931 3.931 60.00 60.00 60.00
Site moments in Bohr magnetons follow the coordinates.
Atoms (fractional coordinates):
Ni 0.750 0.750 0.750  0.41
Fe 0.000 0.000 0.000  2.57
Cu 0.250 0.250 0.250  0.01
Be 0.500 0.500 0.500  -0.05

## Properties
D(E_F) ... 1.4 states/eV/cell
Formation energy ... -0.013 eV per atom
Crystal system ... cubic
Magnetic moment ... 2.81 Bohr magnetons per cell

---

Record 11
A plane-wave DFT calculation with PBE-GGA was carried out for a geometry-optimized Be2FeCuPt structure.

Lattice parameters (Å, degrees): 3.936 4.309 3.936 90.00 90.00 90.00
Site moments in Bohr magnetons follow the coordinates.
Atoms (fractional coordinates):
Be 0.000 0.000 0.500  -0.06
Be 0.500 0.000 0.000  -0.03
Cu 0.000 0.000 0.000  0.04
Pt 0.500 0.500 0.500  0.01
Fe 0.000 0.500 0.000  2.69

## Properties
D(E_F) ... 2.7 states/eV/cell
Formation energy ... 0.647 eV per atom
Crystal system ... tetragonal
Magnetic moment ... 2.60 Bohr magnetons per cell

---

Record 12
A plane-wave DFT calculation with PBE-GGA was carried out for a geometry-optimized BeFeCuRh structure.

Lattice parameters (Å, degrees): 4.055 4.055 4.055 60.00 60.00 60.00
Site moments in Bohr magnetons follow the coordinates.
Atoms (fractional coordinates):
Be 0.500 0.500 0.500  -0.02
Rh 0.750 0.750 0.750  0.38
Fe 0.000 0.000 0.000  2.78
Cu 0.250 0.250 0.250  0.04

## Properties
D(E_F) ... 3.0 states/eV/cell
Formation energy ... -0.104 eV per atom
Crystal system ... cubic
Magnetic moment ... 3.14 Bohr magnetons per cell

---

Record 13
A plane-wave DFT calculation with PBE-GGA was carried out for a geometry-optimized Sc2Be5Fe2Cu structure.

Lattice parameters (Å, degrees): 2.911 8.975 8.975 90.00 90.00 90.00
Atoms (fractional coordinates):
Sc 0.000 0.684 0.184
Sc 0.000 0.316 0.816
Sc 0.000 0.184 0.316
Sc 0.000 0.816 0.684
Be 0.500 0.194 0.050
Be 0.500 0.806 0.950
Be 0.500 0.050 0.806
Be 0.500 0.694 0.450
Be 0.500 0.950 0.194
Be 0.500 0.306 0.550
Be 0.500 0.550 0.694
Be 0.500 0.450 0.306
Be 0.500 0.500 0.000
Be 0.500 0.000 0.500
Fe 0.000 0.127 0.627
Fe 0.000 0.873 0.373
Fe 0.000 0.627 0.873
Fe 0.000 0.373 0.127
Cu 0.000 0.000 0.000
Cu 0.000 0.500 0.500

## Properties
D(E_F) ... 11.9 states/eV/cell
Formation energy ... 0.012 eV per atom
Crystal system ... tetragonal
Magnetic moment ... 0.00 Bohr magnetons per cell

---

Record 14
A plane-wave DFT calculation with PBE-GGA was carried out for a geometry-optimized Ti2Be5Fe2Cu structure.

Lattice parameters (Å, degrees): 2.898 8.637 8.637 90.00 90.00 90.00
Atoms (fractional coordinates):
Ti 0.000 0.684 0.184
Ti 0.000 0.316 0.816
Ti 0.000 0.184 0.316
Ti 0.000 0.816 0.684
Be 0.500 0.196 0.046
Be 0.500 0.804 0.954
Be 0.500 0.046 0.804
Be 0.500 0.696 0.454
Be 0.500 0.954 0.196
Be 0.500 0.304 0.546
Be 0.500 0.546 0.696
Be 0.500 0.454 0.304
Be 0.500 0.500 0.000
Be 0.500 0.000 0.500
Fe 0.000 0.129 0.629
Fe 0.000 0.871 0.371
Fe 0.000 0.629 0.871
Fe 0.000 0.371 0.129
Cu 0.000 0.000 0.000
Cu 0.000 0.500 0.500

## Properties
D(E_F) ... 12.7 states/eV/cell
Formation energy ... -0.024 eV per atom
Crystal system ... tetragonal
Magnetic moment ... 0.00 Bohr magnetons per cell

---

Record 15
A plane-wave DFT calculation with PBE-GGA was carried out for a geometry-optimized TiBe2FeCu structure.

Lattice parameters (Å, degrees): 4.395 4.077 4.395 90.00 90.00 90.00
Site moments in Bohr magnetons follow the coordinates.
Atoms (fractional coordinates):
Be 0.000 0.000 0.500  -0.01
Be 0.500 0.000 0.000  -0.03
Fe 0.000 0.500 0.000  1.49
Cu 0.500 0.500 0.500  0.01
Ti 0.000 0.000 0.000  -0.32

## Properties
D(E_F) ... 3.1 states/eV/cell
Formation energy ... 1.462 eV per atom
Crystal system ... tetragonal
Magnetic moment ... 1.10 Bohr magnetons per cell

---

Record 16
A plane-wave DFT calculation with PBE-GGA was carried out for a geometry-optimized BeFeCuW2 structure.

Lattice parameters (Å, degrees): 4.566 3.692 4.566 90.00 90.00 90.00
Site moments in Bohr magnetons follow the coordinates.
Atoms (fractional coordinates):
Be 0.000 0.500 0.000  0.01
Cu 0.000 0.000 0.000  -0.04
W 0.000 0.000 0.500  -0.36
W 0.500 0.000 0.000  -0.15
Fe 0.500 0.500 0.500  2.75

## Properties
D(E_F) ... 2.8 states/eV/cell
Formation energy ... 1.466 eV per atom
Crystal system ... tetragonal
Magnetic moment ... 2.06 Bohr magnetons per cell

---

Record 17
A plane-wave DFT calculation with PBE-GGA was carried out for a geometry-optimized ZrBe2FeCu structure.

Lattice parameters (Å, degrees): 4.626 4.468 4.626 90.00 90.00 90.00
Site moments in Bohr magnetons follow the coordinates.
Atoms (fractional coordinates):
Be 0.000 0.000 0.500  0.01
Be 0.500 0.000 0.000  -0.01
Cu 0.500 0.500 0.500  0.00
Zr 0.000 0.000 0.000  -0.20
Fe 0.000 0.500 0.000  1.95

## Properties
D(E_F) ... 3.3 states/eV/cell
Formation energy ... 1.788 eV per atom
Crystal system ... tetragonal
Magnetic moment ... 1.75 Bohr magnetons per cell

---

Record 18
A plane-wave DFT calculation with PBE-GGA was carried out for a geometry-optimized BeGaCu structure.

Lattice parameters (Å, degrees): 3.418 4.429 5.951 109.86 90.00 112.70
Atoms (fractional coordinates):
Be 0.875 0.751 0.835
Be 0.125 0.249 0.165
Cu 0.629 0.257 0.433
Cu 0.371 0.743 0.567
Ga 0.857 0.713 0.224
Ga 0.143 0.287 0.776

## Properties
ΔE to the lowest computed polymorph ... 4.0 meV/atom
D(E_F) ... 1.0 states/eV/cell
Formation energy ... 0.071 eV per atom
Crystal system ... monoclinic
Magnetic moment ... 0.00 Bohr magnetons per cell

---

Record 19
A plane-wave DFT calculation with PBE-GGA was carried out for a geometry-optimized BeGaCu3 structure.

Lattice parameters (Å, degrees): 4.990 6.273 8.457 116.25 90.00 90.00
Atoms (fractional coordinates):
Be 0.130 0.818 0.458
Be 0.870 0.182 0.542
Be 0.630 0.182 0.042
Be 0.370 0.818 0.958
Ga 0.865 0.600 0.158
Ga 0.135 0.400 0.842
Ga 0.365 0.400 0.342
Ga 0.635 0.600 0.658
Cu 0.107 0.995 0.263
Cu 0.893 0.005 0.737
Cu 0.607 0.005 0.237
Cu 0.393 0.995 0.763
Cu 0.629 0.811 0.451
Cu 0.371 0.189 0.549
Cu 0.129 0.189 0.049
Cu 0.871 0.811 0.951
Cu 0.133 0.607 0.645
Cu 0.867 0.393 0.355
Cu 0.633 0.393 0.855
Cu 0.367 0.607 0.145

## Properties
ΔE to the lowest computed polymorph ... 0.0 meV/atom
D(E_F) ... 6.3 states/eV/cell
Formation energy ... -0.024 eV per atom
Crystal system ... monoclinic
Magnetic moment ... 0.00 Bohr magnetons per cell

---

Record 20
A plane-wave DFT calculation with PBE-GGA was carried out for a geometry-optimized BeGaCu3 structure.

Lattice parameters (Å, degrees): 4.077 4.077 4.077 90.00 90.00 90.00
Atoms (fractional coordinates):
Be 0.000 0.000 0.000
Cu 0.000 0.500 0.000
Cu 0.000 0.000 0.500
Cu 0.500 0.000 0.000
Ga 0.500 0.500 0.500

## Properties
ΔE to the lowest computed polymorph ... 381.6 meV/atom
D(E_F) ... 1.9 states/eV/cell
Formation energy ... 0.358 eV per atom
Crystal system ... cubic
Magnetic moment ... 0.00 Bohr magnetons per cell